1.
The following is a PBE calculation of a relaxed structure of BiBSe2, from Alexandria via LeMat-Bulk.

Structure (CIF):
```
data_BiBSe2
_chemical_formula_sum 'Bi2 B2 Se4'
_cell_length_a 5.832
_cell_length_b 5.913
_cell_length_c 6.557
_cell_angle_alpha 106.21
_cell_angle_beta 98.00
_cell_angle_gamma 95.56
_space_group_name_H-M_alt 'P -1'
_space_group_IT_number 2
loop_
_space_group_symop_operation_xyz
'x,y,z'
'-x,-y,-z'
loop_
_atom_site_label
_atom_site_fract_x
_atom_site_fract_y
_atom_site_fract_z
Bi1 0.213 0.308 0.048
B1 0.393 0.894 0.001
Se1 0.222 0.924 0.256
Se2 0.285 0.594 0.749
```

Values from the calculation:
Distance to the lowest polymorph of the same formula: 23 meV per atom
Formation energy (no corrections): -0.091 eV/atom



2.
The following is a PBE calculation of a relaxed structure of BiBSe2, from Alexandria via LeMat-Bulk.

Structure (CIF):
```
data_BiBSe2
_chemical_formula_sum 'Bi4 B4 Se8'
_cell_length_a 8.882
_cell_length_b 8.004
_cell_length_c 7.063
_cell_angle_alpha 90.00
_cell_angle_beta 116.68
_cell_angle_gamma 90.00
_space_group_name_H-M_alt 'C 1 m 1'
_space_group_IT_number 8
loop_
_space_group_symop_operation_xyz
'x,y,z'
'x,-y,z'
'x+1/2,y+1/2,z'
'x+1/2,-y+1/2,z'
loop_
_atom_site_label
_atom_site_fract_x
_atom_site_fract_y
_atom_site_fract_z
Bi1 0.000 0.000 0.000
Bi2 0.070 0.500 0.441
B1 0.344 0.398 0.416
Se1 0.332 0.264 0.168
Se2 0.353 0.265 0.663
```

Values from the calculation:
Distance to the lowest polymorph of the same formula: 0 meV per atom
Formation energy (no corrections): -0.114 eV/atom



3.
The following is a PBE calculation of a relaxed structure of BiBSe2, from Alexandria via LeMat-Bulk.

Structure (CIF):
```
data_BiBSe2
_chemical_formula_sum 'Bi2 B2 Se4'
_cell_length_a 4.896
_cell_length_b 6.191
_cell_length_c 8.182
_cell_angle_alpha 69.36
_cell_angle_beta 76.72
_cell_angle_gamma 80.33
_space_group_name_H-M_alt 'P -1'
_space_group_IT_number 2
loop_
_space_group_symop_operation_xyz
'x,y,z'
'-x,-y,-z'
loop_
_atom_site_label
_atom_site_fract_x
_atom_site_fract_y
_atom_site_fract_z
Bi1 0.231 0.289 0.004
B1 0.438 0.925 0.608
Se1 0.110 0.065 0.735
Se2 0.366 0.387 0.289
```

Values from the calculation:
Distance to the lowest polymorph of the same formula: 58 meV per atom
Formation energy (no corrections): -0.056 eV/atom